A geometry-optimized PtRh2Pb structure. Source: the Alexandria database, functional GGA-PBE.

DFT formation energy: 0.107 eV per atom
relative energy among the computed polymorphs: 123 meV per atom

a = 3.083 Å, b = 3.716 Å, c = 5.949 Å
α = 90.00°, β = 90.00°, γ = 90.00°
Space group Pmmm (No. 47)
Inequivalent atoms, fractional coordinates:
Pt 0.000 0.000 0.000 [1 per cell]
Rh 0.500 0.500 0.226 [2 per cell]
Pb 0.000 0.000 0.500 [1 per cell]



A geometry-optimized TbDy2CrN4 structure. Source: the Alexandria database, functional GGA-PBE.

ΔE_f (raw): -1.23 eV/atom

a = 3.371 Å, b = 11.397 Å, c = 11.645 Å
α = 90.00°, β = 90.00°, γ = 90.00°
Space group Cmcm (No. 63)
Inequivalent atoms, fractional coordinates:
Tb 0.000 0.108 0.250 [4 per cell]
Dy 0.000 0.369 0.043 [8 per cell]
Cr 0.000 0.159 0.750 [4 per cell]
N 0.000 0.000 0.000 [4 per cell]
N 0.000 0.268 0.631 [8 per cell]
N 0.000 0.432 0.250 [4 per cell]



A geometry-optimized PrSn3Rh structure. Source: the Alexandria database, functional GGA-PBE.

DFT formation energy: -0.600 eV per atom

a = 6.659 Å, b = 6.078 Å, c = 6.286 Å
α = 90.00°, β = 90.00°, γ = 90.00°
Space group Pmn2_1 (No. 31)
Inequivalent atoms, fractional coordinates:
Pr 0.000 0.135 0.000 [2 per cell]
Sn 0.000 0.903 0.541 [2 per cell]
Sn 0.241 0.339 0.438 [4 per cell]
Rh 0.000 0.616 0.242 [2 per cell]



A geometry-optimized SmDySiAu structure. Source: the Alexandria database, functional GGA-PBE.

ΔE_f (raw): -0.64 eV/atom

a = 7.213 Å, b = 7.213 Å, c = 7.213 Å
α = 90.00°, β = 90.00°, γ = 90.00°
Space group F-43m (No. 216)
Inequivalent atoms, fractional coordinates:
Sm 0.000 0.000 0.000 [4 per cell]
Dy 0.000 0.000 0.500 [4 per cell]
Si 0.250 0.250 0.750 [4 per cell]
Au 0.250 0.250 0.250 [4 per cell]



A geometry-optimized NiICl2 structure. Source: the Alexandria database, functional GGA-PBE.

relative energy among the computed polymorphs: 0 meV per atom
ΔE_f (raw): -0.36 eV/atom

a = 3.4492 Å, b = 3.4492 Å, c = 34.1509 Å
α = 90.00°, β = 90.00°, γ = 120.00°
Space group R-3m (No. 166, hexagonal axes)
Inequivalent atoms, fractional coordinates:
Ni 0.0000 0.0000 0.0000 [3 per cell]
I 0.0000 0.0000 0.5000 [3 per cell]
Cl 0.0000 0.0000 0.3720 [6 per cell]



A geometry-optimized Dy3ScCl structure. Source: the Alexandria database, functional GGA-PBE.

ΔE_f (raw): -0.38 eV/atom

a = 5.207 Å, b = 5.207 Å, c = 5.207 Å
α = 90.00°, β = 90.00°, γ = 90.00°
Space group Pm-3m (No. 221)
Inequivalent atoms, fractional coordinates:
Dy 0.000 0.000 0.500 [3 per cell]
Sc 0.500 0.500 0.500 [1 per cell]
Cl 0.000 0.000 0.000 [1 per cell]



A geometry-optimized K2HoTeSe4 structure. Source: the Alexandria database, functional GGA-PBE.

ΔE_f (raw): -1.07 eV/atom

a = 12.172 Å, b = 12.178 Å, c = 8.526 Å
α = 90.00°, β = 129.75°, γ = 90.00°
Space group C2/c (No. 15)
Inequivalent atoms, fractional coordinates:
K 0.000 0.000 0.000 [4 per cell]
K 0.250 0.250 0.000 [4 per cell]
Ho 0.000 0.500 0.000 [4 per cell]
Te 0.250 0.250 0.500 [4 per cell]
Se 0.026 0.265 0.510 [8 per cell]
Se 0.212 0.484 0.446 [8 per cell]



A geometry-optimized Ba2CuSnP structure. Source: the Alexandria database, functional GGA-PBE.

DFT formation energy: 0.253 eV per atom

a = 6.576 Å, b = 6.576 Å, c = 5.078 Å
α = 90.00°, β = 90.00°, γ = 90.00°
Space group P4/mmm (No. 123)
Inequivalent atoms, fractional coordinates:
Ba 0.000 0.500 0.000 [2 per cell]
Cu 0.000 0.000 0.500 [1 per cell]
Sn 0.500 0.500 0.000 [1 per cell]
P 0.500 0.500 0.500 [1 per cell]



Number 1: E_tot -0.2207 hartree per atom. Number 2: E_tot -0.3059 hartree per atom. Number 3: E_tot -0.1995 hartree per atom. Number 4: E_tot -0.1892 hartree per atom. Number 5: E_tot -0.1145 hartree per atom. Number 6: E_tot -0.1756 hartree per atom. Number 7: E_tot -0.1489 hartree per atom. Number 8: E_tot -0.1183 hartree per atom.